(1)
The following is a DFT calculation (PBE) of a geometry-optimized Sr2MgCl structure.

a = 9.3857 Å, b = 9.3857 Å, c = 9.3857 Å
α = 156.10°, β = 154.12°, γ = 35.51°
Fractional positions:
Sr 0.0000 0.0000 0.0000
Sr 0.7355 0.2355 0.5000
Mg 0.3883 0.3883 0.0000
Cl 0.1510 0.6510 0.5000

Properties
Symmetry ... Imm2 (44)
E above lowest polymorph ... 0.56 eV/f.u.

(2)
The following is a DFT calculation (PBE) of a geometry-optimized SrMgCl4 structure.

a = 6.1104 Å, b = 6.1104 Å, c = 6.1104 Å
α = 60.00°, β = 60.00°, γ = 60.00°
Fractional positions:
Sr 0.0000 0.0000 0.0000
Mg 0.2500 0.2500 0.2500
Cl 0.1253 0.6249 0.6249
Cl 0.6249 0.1253 0.6249
Cl 0.6249 0.6249 0.1253
Cl 0.6249 0.6249 0.6249

Properties
Symmetry ... F-43m (216)

(3)
The following is a DFT calculation (PBE) of a geometry-optimized SrMg3Cl structure.

a = 5.4354 Å, b = 5.4354 Å, c = 5.4354 Å
α = 90.00°, β = 90.00°, γ = 90.00°
Fractional positions:
Sr 0.0000 0.0000 0.0000
Mg 0.0000 0.5000 0.5000
Mg 0.5000 0.0000 0.5000
Mg 0.5000 0.5000 0.0000
Cl 0.5000 0.5000 0.5000

Properties
Symmetry ... Pm-3m (221)
E above lowest polymorph ... 0.00 eV/f.u.

(4)
The following is a DFT calculation (PBE) of a geometry-optimized Sr2MgCl structure.

a = 7.4704 Å, b = 7.4704 Å, c = 7.4704 Å
α = 110.01°, β = 110.01°, γ = 108.41°
Fractional positions:
Sr 0.0757 0.6250 0.9507
Sr 0.3750 0.3257 0.4507
Sr 0.6743 0.1250 0.0493
Sr 0.8750 0.9243 0.5493
Mg 0.2500 0.7500 0.5000
Mg 0.5000 0.5000 0.0000
Cl 0.0000 0.0000 0.0000
Cl 0.7500 0.2500 0.5000

Properties
Symmetry ... I-42d (122)
E above lowest polymorph ... 0.61 eV/f.u.

(5)
The following is a DFT calculation (PBE) of a geometry-optimized Sr2MgCl structure.

a = 4.2367 Å, b = 4.2367 Å, c = 9.5368 Å
α = 102.88°, β = 102.88°, γ = 59.78°
Fractional positions:
Sr 0.2410 0.2410 0.2272
Sr 0.7590 0.7590 0.7728
Mg 0.0000 0.0000 0.5000
Cl 0.5000 0.5000 0.0000

Properties
Symmetry ... C2/m (12)
E above lowest polymorph ... 0.20 eV/f.u.

(6)
The following is a DFT calculation (PBE) of a geometry-optimized SrMg2Cl structure.

a = 3.6177 Å, b = 3.6177 Å, c = 9.7044 Å
α = 90.00°, β = 90.00°, γ = 112.58°
Fractional positions:
Sr 0.0000 0.0000 0.0000
Mg 0.5000 0.5000 0.2912
Mg 0.5000 0.5000 0.7088
Cl 0.0000 0.0000 0.5000

Properties
Symmetry ... Cmmm (65)
E above lowest polymorph ... 1.06 eV/f.u.

(7)
The following is a DFT calculation (PBE) of a geometry-optimized SrMg2Cl structure.

a = 3.7433 Å, b = 4.7700 Å, c = 6.8450 Å
α = 90.00°, β = 90.00°, γ = 90.00°
Fractional positions:
Sr 0.0000 0.0000 0.0000
Mg 0.0000 0.5000 0.5000
Mg 0.5000 0.0000 0.5000
Cl 0.5000 0.5000 0.0000

Properties
Symmetry ... Pmmm (47)
E above lowest polymorph ... 0.25 eV/f.u.

(8)
The following is a DFT calculation (PBE) of a geometry-optimized SrMg2Cl structure.

a = 5.5354 Å, b = 5.5354 Å, c = 5.5354 Å
α = 60.00°, β = 60.00°, γ = 60.00°
Fractional positions:
Sr 0.0000 0.0000 0.0000
Mg 0.2500 0.2500 0.2500
Mg 0.5000 0.5000 0.5000
Cl 0.7500 0.7500 0.7500

Properties
Symmetry ... F-43m (216)
E above lowest polymorph ... 1.22 eV/f.u.

(9)
The following is a DFT calculation (PBE) of a geometry-optimized SrMg2Cl structure.

a = 3.7052 Å, b = 3.7100 Å, c = 9.2779 Å
α = 90.00°, β = 101.28°, γ = 90.00°
Fractional positions:
Sr 0.0000 0.0000 0.0000
Mg 0.3604 0.5000 0.7134
Mg 0.7733 0.0000 0.5336
Cl 0.5799 0.5000 0.1630

Properties
Symmetry ... Pm (6)
E above lowest polymorph ... 0.00 eV/f.u.

(10)
The following is a DFT calculation (PBE) of a geometry-optimized SrMg2Cl structure.

a = 5.9699 Å, b = 5.9699 Å, c = 5.9699 Å
α = 130.98°, β = 130.98°, γ = 71.85°
Fractional positions:
Sr 0.0000 0.0000 0.0000
Mg 0.5000 0.5000 0.0000
Mg 0.7500 0.2500 0.5000
Cl 0.2500 0.7500 0.5000

Properties
Symmetry ... I-4m2 (119)
E above lowest polymorph ... 1.03 eV/f.u.

(11)
The following is a DFT calculation (PBE) of a geometry-optimized SrMgZnCl6 structure.

a = 6.4809 Å, b = 6.4809 Å, c = 12.6968 Å
α = 90.00°, β = 90.00°, γ = 120.00°
Fractional positions:
Sr 0.0000 0.0000 0.0000
Sr 0.0000 0.0000 0.5000
Mg 0.3333 0.6667 0.2500
Mg 0.6667 0.3333 0.7500
Zn 0.3333 0.6667 0.7500
Zn 0.6667 0.3333 0.2500
Cl 0.0033 0.3663 0.6383
Cl 0.0033 0.6370 0.8617
Cl 0.3630 0.3663 0.8617
Cl 0.3630 0.9967 0.6383
Cl 0.3663 0.0033 0.1383
Cl 0.3663 0.3630 0.3617
Cl 0.6337 0.6370 0.6383
Cl 0.6337 0.9967 0.8617
Cl 0.6370 0.0033 0.3617
Cl 0.6370 0.6337 0.1383
Cl 0.9967 0.3630 0.1383
Cl 0.9967 0.6337 0.3617

Properties
Symmetry ... P-31c (163)

(12)
The following is a DFT calculation (PBE) of a geometry-optimized Mg2TaCl structure.

a = 3.0076 Å, b = 4.7426 Å, c = 5.7636 Å
α = 90.00°, β = 105.00°, γ = 90.00°
Fractional positions:
Mg 0.0000 0.0000 0.0000
Mg 0.3587 0.5000 0.7226
Ta 0.6220 0.5000 0.2430
Cl 0.7127 0.0000 0.4243

Properties
Symmetry ... Pm (6)
E above lowest polymorph ... 1.29 eV/f.u.

(13)
The following is a DFT calculation (PBE) of a geometry-optimized Mg2TaCl structure.

a = 6.0793 Å, b = 6.0793 Å, c = 6.0793 Å
α = 150.81°, β = 128.81°, γ = 60.02°
Fractional positions:
Mg 0.0000 0.0000 0.0000
Mg 0.7016 0.2016 0.5000
Ta 0.2418 0.7418 0.5000
Cl 0.4273 0.4273 0.0000

Properties
Symmetry ... Imm2 (44)
E above lowest polymorph ... 1.34 eV/f.u.

(14)
The following is a DFT calculation (PBE) of a geometry-optimized Mg2TaCl structure.

a = 3.0114 Å, b = 3.0114 Å, c = 10.1574 Å
α = 90.00°, β = 90.00°, γ = 90.00°
Fractional positions:
Mg 0.0000 0.0000 0.0000
Mg 0.5000 0.5000 0.2403
Ta 0.0000 0.0000 0.4500
Cl 0.5000 0.5000 0.6119

Properties
Symmetry ... P4mm (99)
E above lowest polymorph ... 1.11 eV/f.u.

(15)
The following is a DFT calculation (PBE) of a geometry-optimized Mg2Ta2Cl structure.

a = 8.5088 Å, b = 8.5088 Å, c = 3.1319 Å
α = 90.00°, β = 90.00°, γ = 90.00°
Fractional positions:
Mg 0.1910 0.3090 0.0000
Mg 0.3090 0.8090 0.0000
Mg 0.6910 0.1910 0.0000
Mg 0.8090 0.6910 0.0000
Ta 0.0998 0.5998 0.5000
Ta 0.4002 0.0998 0.5000
Ta 0.5998 0.9002 0.5000
Ta 0.9002 0.4002 0.5000
Cl 0.0000 0.0000 0.0000
Cl 0.5000 0.5000 0.0000

Properties
Symmetry ... P4/mbm (127)
E above lowest polymorph ... 1.85 eV/f.u.

(16)
The following is a DFT calculation (PBE) of a geometry-optimized MgTa3Cl structure.

a = 4.5770 Å, b = 4.5770 Å, c = 4.5770 Å
α = 90.00°, β = 90.00°, γ = 90.00°
Fractional positions:
Mg 0.0000 0.0000 0.0000
Ta 0.0000 0.5000 0.5000
Ta 0.5000 0.0000 0.5000
Ta 0.5000 0.5000 0.0000
Cl 0.5000 0.5000 0.5000

Properties
Symmetry ... Pm-3m (221)
E above lowest polymorph ... 0.00 eV/f.u.

(17)
The following is a DFT calculation (PBE) of a geometry-optimized Mg2TaCl structure.

a = 5.7064 Å, b = 5.7064 Å, c = 5.3737 Å
α = 107.98°, β = 107.98°, γ = 30.60°
Fractional positions:
Mg 0.0000 0.0000 0.0000
Mg 0.1998 0.1998 0.6311
Ta 0.4530 0.4530 0.4941
Cl 0.7918 0.7918 0.1815

Properties
Symmetry ... Cm (8)
E above lowest polymorph ... 1.20 eV/f.u.

(18)
The following is a DFT calculation (PBE) of a geometry-optimized MgTa3Cl structure.

a = 4.8388 Å, b = 4.8388 Å, c = 4.8388 Å
α = 90.00°, β = 90.00°, γ = 90.00°
Fractional positions:
Mg 0.0000 0.0000 0.0000
Ta 0.0000 0.0000 0.5000
Ta 0.0000 0.5000 0.0000
Ta 0.5000 0.0000 0.0000
Cl 0.5000 0.5000 0.5000

Properties
Symmetry ... Pm-3m (221)
E above lowest polymorph ... 6.88 eV/f.u.

(19)
The following is a DFT calculation (PBE) of a geometry-optimized Mg2TaCl structure.

a = 5.3622 Å, b = 5.3622 Å, c = 2.9769 Å
α = 90.00°, β = 90.00°, γ = 112.62°
Fractional positions:
Mg 0.0000 0.5000 0.0000
Mg 0.5000 0.0000 0.0000
Ta 0.0000 0.0000 0.5000
Cl 0.5000 0.5000 0.5000

Properties
Symmetry ... Cmmm (65)
E above lowest polymorph ... 1.65 eV/f.u.

(20)
The following is a DFT calculation (PBE) of a geometry-optimized Mg2TaCl structure.

a = 2.9921 Å, b = 4.9035 Å, c = 5.3202 Å
α = 90.00°, β = 90.00°, γ = 90.00°
Fractional positions:
Mg 0.0000 0.0000 0.0000
Mg 0.5000 0.5000 0.0000
Ta 0.0000 0.5000 0.5000
Cl 0.5000 0.0000 0.5000

Properties
Symmetry ... Pmmm (47)
E above lowest polymorph ... 2.49 eV/f.u.

Looking at energy relative to the elements, uncorrected for the records above, in order, we have -0.70, -0.58, -0.10, -0.69, -0.79, -0.42, -0.62, -0.38, -0.69, -0.43, -1.79, 0.07, 0.08, 0.02, 0.63, 0.85, 0.04, 2.22, 0.16, 0.37 eV per atom.
Looking at total magnetization for the records above, in order, we have 0.00, 0.33, 0.00, 0.00, 0.00, 0.00, 0.00, 0.00, 0.00, 0.00, 0.00, 0.00, 0.00, 0.00, 0.00, 0.00, 0.00, 0.00, 0.00, 0.00 μB/atom.